# Ba2LiVO4

A relaxed Ba2LiVO4 crystal (PBE+U, Alexandria).

Output
Crystal system ... tetragonal
Raw total energy ... -6.2175 eV/atom
Spin magnetization ... 0.1 μB per cell

Geometry as extended XYZ:
```
16
Lattice="6.077 0.000 0.000 0.000 6.077 0.000 0.000 0.000 6.974" Properties=species:S:1:pos:R:3 pbc="T T T"
Ba 0.000 0.000 0.000
Ba 0.000 3.038 1.743
Ba 3.038 0.000 5.230
Ba 3.038 3.038 3.487
Li 0.000 3.038 5.230
Li 3.038 0.000 1.743
V 0.000 0.000 3.487
V 3.038 3.038 0.000
O 0.925 1.549 4.060
O 1.489 3.963 6.401
O 1.549 5.152 2.914
O 2.114 1.489 0.573
O 3.963 4.588 0.573
O 4.528 0.925 2.914
O 4.588 2.114 6.401
O 5.152 4.528 4.060
```